This record from the Alexandria database describes a relaxed structure of AgAsBr2. The functional is GGA-PBE.

Unit cell a=3.210 b=4.195 c=8.885 alpha=90.00 beta=90.00 gamma=90.00
Space group Pmm2 (No. 25)
One atom of each set of equivalent atoms:
Ag 0.000 0.000 0.000 x1
As 0.500 0.500 0.912 x1
Br 0.000 0.000 0.298 x1
Br 0.500 0.500 0.651 x1

**Formation energy (no corrections)**: -0.093 eV/f.u.
**Crystal system**: orthorhombic
**Volume**: 29.911 Å³/atom

***

This record from the Alexandria database describes a relaxed structure of Tb4Sm3PuS8. The functional is GGA-PBE.

Unit cell a=7.9197 b=7.9197 c=19.4250 alpha=90.00 beta=90.00 gamma=120.00
Space group R-3m (No. 166, hexagonal axes)
One atom of each set of equivalent atoms:
Tb 0.0000 0.0000 0.0000 x3
Tb 0.0000 0.5000 0.0000 x9
Sm 0.0000 0.5000 0.5000 x9
Pu 0.0000 0.0000 0.5000 x3
S 0.0000 0.0000 0.2526 x6
S 0.0023 0.5012 0.2519 x18

**Formation energy (no corrections)**: -31.949 eV/f.u.
**Crystal system**: trigonal
**Volume**: 21.982 Å³/atom

***

This record from the Alexandria database describes a relaxed structure of TcHgBi2As. The functional is GGA-PBE.

Unit cell a=5.714 b=5.714 c=5.006 alpha=90.00 beta=90.00 gamma=90.00
Space group P4/mmm (No. 123)
One atom of each set of equivalent atoms:
Tc 0.000 0.000 0.000 x1
Hg 0.500 0.500 0.500 x1
Bi 0.000 0.500 0.500 x2
As 0.500 0.500 0.000 x1

**Crystal system**: tetragonal
**Final energy**: -3.1318 eV/atom
**Volume**: 32.688 Å³/atom